This record from the Alexandria database describes a relaxed MnCdSi2 crystal. The functional is GGA-PBE.

Cell: 3.1106 3.1106 6.2749 Å, 90.00 90.00 90.00°
With the nearest neighbours (Å) after each atom.
Fractional coordinates of all 4 atoms:
Mn1 0.0000 0.0000 0.0000  5 Si 2.30-2.35
Cd1 0.5000 0.5000 0.6796  5 Si 2.84-2.95, 4 Mn 2.98, 4 Cd 3.11
Si1 0.0000 0.0000 0.3659  1 Mn 2.30
Si2 0.5000 0.5000 0.1320  4 Mn 2.35

## Properties
VASP energy = -5.038 eV/atom
formation energy (no corrections) = 194 meV per atom